[1]
Below is crystalline AcPrTc at its relaxed geometry, with properties calculated at the PBE level.

```
AcPrTc
1.0
3.6467 -2.2064 -2.6898
-0.0742 -4.9859 -0.7326
-1.0156 -1.8604 -4.5726
Tc Ac Pr
1 1 1
Cartesian
1.9177 -6.7895 -5.9962
0.6392 -2.2632 -1.9987
0.0000 0.0000 0.0000
```

Computed properties:
SG: F-43m (216)
Energy relative to the elements, meV/atom: 998
Uncorrected energy, eV/atom: -5.415
V, Å³/atom: 30.2

---

[2]
Below is crystalline Ac4PrTe5 at its relaxed geometry, with properties calculated at the PBE level.

```
Ac4PrTe5
1.0
-14.6537 -9.2223 8.2992
-13.8379 -6.1762 11.7909
-16.6344 -4.9555 8.2095
Te Ac Pr
5 4 1
Cartesian
-8.9043 -4.0162 5.5841
-36.2218 -16.3377 22.7155
0.0000 0.0000 0.0000
-18.1189 -8.1725 11.3627
-27.0072 -12.1815 16.9368
-31.6156 -14.2601 19.8268
-40.5054 -18.2698 25.4019
-13.5105 -6.0938 8.4727
-4.6206 -2.0841 2.8977
-22.5630 -10.1770 14.1498
```

Computed properties:
SG: R-3m (166)
Uncorrected energy, eV/atom: -5.173
V, Å³/atom: 36.4

---

[3]
Below is crystalline AcPrTm at its relaxed geometry, with properties calculated at the PBE level.

```
AcPrTm
1.0
0.2018 1.7816 5.3927
-2.1200 5.0852 1.3937
-4.7770 0.3457 3.0590
Pr Ac Tm
1 1 1
Cartesian
-5.0214 5.4094 7.3840
-1.6738 1.8031 2.4613
0.0000 0.0000 0.0000
```

Computed properties:
SG: F-43m (216)
Energy relative to the elements, meV/atom: 631
Uncorrected energy, eV/atom: -3.821
V, Å³/atom: 43.3

---

[4]
Below is crystalline AcPrU at its relaxed geometry, with properties calculated at the PBE level.

```
AcPrU
1.0
0.0000 3.9054 3.9054
3.9054 0.0000 3.9054
3.9054 3.9054 0.0000
Pr U Ac
1 1 1
Cartesian
5.8581 5.8581 5.8581
0.0000 0.0000 0.0000
1.9527 1.9527 1.9527
```

Computed properties:
SG: F-43m (216)
Energy relative to the elements, meV/atom: 1246
Uncorrected energy, eV/atom: -5.480
V, Å³/atom: 39.7